# AgHg2Cl meta-GGA SCAN single point on PBEsol structure
# **D(E_F)**: 0.09 states/eV/atom
# **Offset from the most stable computed form**: 203 meV/atom
data_AgHg2Cl
_chemical_formula_sum 'Ag2 Hg4 Cl2'
_space_group_name_H-M_alt 'I -4 m 2'
_space_group_IT_number 119
_space_group_name_Hall 'I -4 -2'
_cell_length_a 4.477
_cell_length_b 4.477
_cell_length_c 8.450
_cell_angle_alpha 90.00
_cell_angle_beta 90.00
_cell_angle_gamma 90.00
loop_
_atom_site_label
_atom_site_type_symbol
_atom_site_fract_x
_atom_site_fract_y
_atom_site_fract_z
_atom_site_occupancy
Ag1 Ag 0.000 0.000 0.000 1
Hg1 Hg 0.000 0.000 0.500 1
Hg2 Hg 0.000 0.500 0.750 1
Cl1 Cl 0.000 0.500 0.250 1


# AgHgCl2 meta-GGA SCAN single point on PBEsol structure
# **D(E_F)**: 0.67 states/eV/atom
# **Offset from the most stable computed form**: 158 meV/atom
data_AgHgCl2
_chemical_formula_sum 'Ag3 Hg3 Cl6'
_space_group_name_H-M_alt 'R -3 m'
_space_group_IT_number 166
_space_group_name_Hall '-R 3 2"'
_cell_length_a 3.7835
_cell_length_b 3.7835
_cell_length_c 25.4094
_cell_angle_alpha 90.00
_cell_angle_beta 90.00
_cell_angle_gamma 120.00
loop_
_atom_site_label
_atom_site_type_symbol
_atom_site_fract_x
_atom_site_fract_y
_atom_site_fract_z
_atom_site_occupancy
Ag1 Ag 0.0000 0.0000 0.0000 1
Hg1 Hg 0.0000 0.0000 0.5000 1
Cl1 Cl 0.0000 0.0000 0.0907 1


# AgHg2Cl meta-GGA SCAN single point on PBEsol structure
# **D(E_F)**: 0.13 states/eV/atom
# **Offset from the most stable computed form**: 116 meV/atom
data_AgHg2Cl
_chemical_formula_sum 'Ag2 Hg4 Cl2'
_space_group_name_H-M_alt 'C m m m'
_space_group_IT_number 65
_space_group_name_Hall '-C 2 2'
_cell_length_a 3.690
_cell_length_b 5.476
_cell_length_c 8.414
_cell_angle_alpha 90.00
_cell_angle_beta 90.00
_cell_angle_gamma 90.00
loop_
_atom_site_label
_atom_site_type_symbol
_atom_site_fract_x
_atom_site_fract_y
_atom_site_fract_z
_atom_site_occupancy
Ag1 Ag 0.000 0.000 0.000 1
Hg1 Hg 0.000 0.500 0.247 1
Cl1 Cl 0.000 0.000 0.500 1


# AgHgCl2 meta-GGA SCAN single point on PBEsol structure
# **D(E_F)**: 0.20 states/eV/atom
# **Offset from the most stable computed form**: 28 meV/atom
data_AgHgCl2
_chemical_formula_sum 'Ag1 Hg1 Cl2'
_space_group_name_H-M_alt 'P m m m'
_space_group_IT_number 47
_cell_length_a 4.073
_cell_length_b 4.129
_cell_length_c 5.412
_cell_angle_alpha 90.00
_cell_angle_beta 90.00
_cell_angle_gamma 90.00
loop_
_space_group_symop_operation_xyz
'x,y,z'
'-x,-y,-z'
'-x,-y,z'
'x,y,-z'
'x,-y,-z'
'-x,y,z'
'-x,y,-z'
'x,-y,z'
loop_
_atom_site_label
_atom_site_type_symbol
_atom_site_fract_x
_atom_site_fract_y
_atom_site_fract_z
_atom_site_occupancy
Ag1 Ag 0.000 0.000 0.000 1
Hg1 Hg 0.500 0.500 0.500 1
Cl1 Cl 0.000 0.000 0.500 1
Cl2 Cl 0.500 0.500 0.000 1


# AgHgCl meta-GGA SCAN single point on PBEsol structure
# **D(E_F)**: 0.02 states/eV/atom
data_AgHgCl
_chemical_formula_sum 'Ag1 Hg1 Cl1'
_space_group_name_H-M_alt 'P 3 m 1'
_space_group_IT_number 156
_cell_length_a 3.5997
_cell_length_b 3.5997
_cell_length_c 5.7756
_cell_angle_alpha 90.00
_cell_angle_beta 90.00
_cell_angle_gamma 120.00
loop_
_space_group_symop_operation_xyz
'x,y,z'
'-y,x-y,z'
'-x+y,-x,z'
'-y,-x,z'
'-x+y,y,z'
'x,x-y,z'
loop_
_atom_site_label
_atom_site_type_symbol
_atom_site_fract_x
_atom_site_fract_y
_atom_site_fract_z
_atom_site_occupancy
Ag1 Ag 0.0000 0.0000 0.0000 1
Hg1 Hg 0.6667 0.3333 0.3267 1
Cl1 Cl 0.3333 0.6667 0.7106 1


# AgHg2Cl meta-GGA SCAN single point on PBEsol structure
# **Offset from the most stable computed form**: 0 meV/atom
data_AgHg2Cl
_chemical_formula_sum 'Ag3 Hg6 Cl3'
_space_group_name_H-M_alt 'R 3 m'
_space_group_IT_number 160
_space_group_name_Hall 'R 3 -2"'
_cell_length_a 3.5934
_cell_length_b 3.5934
_cell_length_c 24.1770
_cell_angle_alpha 90.00
_cell_angle_beta 90.00
_cell_angle_gamma 120.00
loop_
_atom_site_label
_atom_site_type_symbol
_atom_site_fract_x
_atom_site_fract_y
_atom_site_fract_z
_atom_site_occupancy
Ag1 Ag 0.0000 0.0000 0.0000 1
Hg1 Hg 0.0000 0.0000 0.5039 1
Hg2 Hg 0.0000 0.0000 0.7463 1
Cl1 Cl 0.0000 0.0000 0.2663 1


Total magnetization
In order: 0.0, 0.0, 0.0, 0.0, 0.0, 0.0
Unit: μB per formula unit
Energy relative to the elements, uncorrected
In order: -0.05, -0.22, -0.14, -0.35, -0.36, -0.26
Unit: eV/atom